#a
Entry from Alexandria via LeMat-Bulk: a relaxed ScBe3Cl crystal (PBE).

```
ScBe3Cl
1.0
4.273 0.000 0.000
0.000 4.273 0.000
0.000 0.000 4.273
Sc Be Cl
1 3 1
Direct
0.000 0.000 0.000 Sc
0.000 0.500 0.500 Be
0.500 0.000 0.500 Be
0.500 0.500 0.000 Be
0.500 0.500 0.500 Cl
```

Computed properties:
- M_tot: 0.000 μB/cell
- Volume: 78.0 Å³/cell

#b
Entry from Alexandria via LeMat-Bulk: a relaxed ScBe3Cl crystal (PBE).

```
ScBe3Cl
1.0
5.197 0.000 0.000
0.000 5.197 0.000
0.000 0.000 5.197
Sc Be Cl
1 3 1
Direct
0.000 0.000 0.000 Sc
0.000 0.000 0.500 Be
0.000 0.500 0.000 Be
0.500 0.000 0.000 Be
0.500 0.500 0.500 Cl
```

Computed properties:
- M_tot: 0.000 μB/cell
- Volume: 140.4 Å³/cell

Least stable = #b

#a
Entry from Alexandria via LeMat-Bulk: a relaxed BeSeCl3 crystal (PBE).

```
BeSeCl3
1.0
5.096 0.000 0.000
0.000 5.096 0.000
0.000 0.000 5.096
Be Se Cl
1 1 3
Direct
0.000 0.000 0.000 Be
0.500 0.500 0.500 Se
0.000 0.500 0.500 Cl
0.500 0.000 0.500 Cl
0.500 0.500 0.000 Cl
```

Computed properties:
- M_tot: 0.554 μB/cell
- Volume: 132.3 Å³/cell

#b
Entry from Alexandria via LeMat-Bulk: a relaxed BeSeCl3 crystal (PBE).

```
BeSeCl3
1.0
4.657 0.000 0.000
0.000 4.657 0.000
0.000 0.000 4.657
Be Se Cl
1 1 3
Direct
0.000 0.000 0.000 Be
0.500 0.500 0.500 Se
0.000 0.000 0.500 Cl
0.000 0.500 0.000 Cl
0.500 0.000 0.000 Cl
```

Computed properties:
- M_tot: 2.999 μB/cell
- Volume: 101.0 Å³/cell

Least stable = #a

#a
Entry from Alexandria via LeMat-Bulk: a relaxed Be2SiCl crystal (PBE).

```
Be2SiCl
1.0
2.773 0.000 0.000
0.000 3.857 0.000
0.000 0.000 5.321
Be Si Cl
2 1 1
Direct
0.000 0.000 0.000 Be
0.000 0.500 0.500 Be
0.500 0.000 0.500 Si
0.500 0.500 0.000 Cl
```

Computed properties:
- M_tot: 0.000 μB/cell
- Volume: 56.9 Å³/cell

#b
Entry from Alexandria via LeMat-Bulk: a relaxed Be2SiCl crystal (PBE).

```
Be2SiCl
1.0
0.000 3.020 3.020
3.020 0.000 3.020
3.020 3.020 0.000
Be Si Cl
2 1 1
Direct
0.250 0.250 0.250 Be
0.750 0.750 0.750 Be
0.000 0.000 0.000 Si
0.500 0.500 0.500 Cl
```

Computed properties:
- M_tot: 0.000 μB/cell
- Volume: 55.1 Å³/cell

Least stable = #b